[1]
First-principles (PBE-GGA) data for an optimized crystal structure of GdScPO, as listed in OQMD via LeMat-Bulk.

```
GdScPO
1.0
3.917 0.000 0.000
0.000 5.764 0.000
0.000 0.000 6.730
Sc Gd P O
2 2 2 2
direct
0.500 0.375 0.944 Sc
0.500 0.625 0.444 Sc
0.000 0.073 0.601 Gd
0.000 0.927 0.101 Gd
0.500 0.806 0.810 P
0.500 0.194 0.310 P
0.000 0.727 0.399 O
0.000 0.273 0.899 O
```

## Properties
**SG**: Pmc2_1 (26)
**Crystal system**: orthorhombic
**Offset from the most stable computed form**: 0 meV per atom

=====

[2]
First-principles (PBE-GGA) data for an optimized crystal structure of La2Lu2O5, as listed in OQMD via LeMat-Bulk.

```
La2Lu2O5
1.0
7.824 0.000 0.000
0.000 4.375 0.000
0.000 0.000 4.375
O La Lu
5 2 2
direct
0.299 0.000 0.500 O
0.500 0.500 0.500 O
0.701 0.500 0.000 O
0.701 0.000 0.500 O
0.299 0.500 0.000 O
0.774 0.500 0.500 La
0.226 0.500 0.500 La
0.000 0.000 0.000 Lu
0.500 0.000 0.000 Lu
```

## Properties
**SG**: P4/mmm (123)
**Crystal system**: tetragonal
**Offset from the most stable computed form**: 892 meV per atom